# 1
Below is an optimized crystal structure of TbPr4S6, with properties calculated at the PBE-GGA level.

The raw formation energy is -2.0065 eV per atom.

Unit cell a=3.9567 b=13.5173 c=20.5408 alpha=90.00 beta=90.00 gamma=90.00
With the nearest neighbours (Å) after each atom.
Space group Cmcm (No. 63)
Symmetry-distinct sites (fractional):
Tb (0.0000, 0.1530, 0.2500) [4 per cell]  6 S 2.78-2.88
Pr (0.0000, 0.0897, 0.6307) [8 per cell]  6 S 2.85-2.95
Pr (0.0000, 0.3598, 0.5410) [8 per cell]  6 S 2.85-2.96
S (0.0000, 0.0000, 0.0000) [4 per cell]  6 Pr 2.87-2.95
S (0.0000, 0.2023, 0.7500) [4 per cell]  2 Tb 2.78, 2 Pr 2.88
S (0.0000, 0.2714, 0.0909) [8 per cell]  5 Pr 2.85-2.96
S (0.0000, 0.4441, 0.6710) [8 per cell]  2 Tb 2.88, 3 Pr 2.90-2.91

---

# 2
Below is an optimized crystal structure of Tb3Pr5S8, with properties calculated at the PBE-GGA level.

The raw formation energy is -2.0120 eV per atom.

Unit cell a=8.0488 b=8.0488 c=19.9682 alpha=90.00 beta=90.00 gamma=120.00
With the nearest neighbours (Å) after each atom.
Space group R-3m (No. 166, hexagonal axes)
Symmetry-distinct sites (fractional):
Tb (0.0000, 0.5000, 0.0000) [9 per cell]  6 S 2.79
Pr (0.0000, 0.0000, 0.0000) [3 per cell]  6 S 2.86
Pr (0.0000, 0.0000, 0.5000) [3 per cell]  6 S 2.86
Pr (0.0000, 0.5000, 0.5000) [9 per cell]  6 S 2.93
S (0.0000, 0.0000, 0.2559) [6 per cell]  3 Tb 2.79, 3 Pr 2.93
S (0.0079, 0.5039, 0.2541) [18 per cell]  2 Tb 2.79, 4 Pr 2.86-2.93

---

# 3
Below is an optimized crystal structure of Tb2Pr3S8, with properties calculated at the PBE-GGA level.

The raw formation energy is -1.8009 eV per atom.

Unit cell a=14.0299 b=8.1919 c=6.9288 alpha=90.00 beta=111.07 gamma=90.00
With the nearest neighbours (Å) after each atom.
Space group C2/m (No. 12)
Symmetry-distinct sites (fractional):
Tb (0.2366, 0.0000, 0.1538) [4 per cell]  6 S 2.72-2.84
Pr (0.0000, 0.2356, 0.5000) [4 per cell]  6 S 2.82-2.87
Pr (0.0000, 0.5000, 0.0000) [2 per cell]  6 S 2.83-2.91
S (0.1157, 0.0000, 0.3845) [4 per cell]  1 Tb 2.72, 2 Pr 2.82
S (0.1214, 0.5000, 0.4405) [4 per cell]  1 Tb 2.80, 3 Pr 2.87-2.91
S (0.1299, 0.2678, 0.9190) [8 per cell]  2 Tb 2.82-2.84, 2 Pr 2.83

---

# 4
Below is an optimized crystal structure of Tb3Pr4S8, with properties calculated at the PBE-GGA level.

The energy above the lowest structure with this stoichiometry comes out at 214.8 meV per atom. The raw formation energy is -1.8049 eV per atom.

Unit cell a=7.8817 b=7.8817 c=22.2409 alpha=90.00 beta=90.00 gamma=120.00
With the nearest neighbours (Å) after each atom.
Space group R-3m (No. 166, hexagonal axes)
Symmetry-distinct sites (fractional):
Tb (0.0000, 0.5000, 0.0000) [9 per cell]  6 S 2.67-2.85
Pr (0.0000, 0.0000, 0.0000) [3 per cell]  6 S 2.91
Pr (0.0000, 0.0000, 0.1484) [6 per cell]  4 S 2.71-2.80
Pr (0.0000, 0.0000, 0.5000) [3 per cell]  6 S 2.96
S (0.0000, 0.0000, 0.2705) [6 per cell]  3 Tb 2.67, 1 Pr 2.71
S (0.0081, 0.5041, 0.2547) [18 per cell]  3 Pr 2.80-2.96, 2 Tb 2.85

---

| no. | V (Å³ per cell) |
| --- | --- |
| 1 | 1099 |
| 2 | 1120 |
| 3 | 743 |
| 4 | 1197 |